(A)
Here is crystalline NaGe2Os at its relaxed geometry from Alexandria. Energies are from PBE.

## Properties
**Volume**: 15.8 A^3/atom
**Space-group type**: No. 225

Cell: 4.469 4.469 4.469 Å, 60.00 60.00 60.00°
Fractional coordinates of all 4 atoms:
Na1 0.000 0.000 0.000
Ge1 0.250 0.250 0.250
Ge2 0.750 0.750 0.750
Os1 0.500 0.500 0.500



(B)
Here is crystalline NaGe2Os at its relaxed geometry from Alexandria. Energies are from PBE.

## Properties
**Volume**: 30.5 A^3/atom
**Space-group type**: No. 141

Cell: 5.798 5.798 8.328 Å, 69.63 69.63 90.00°
Fractional coordinates of all 8 atoms:
Na1 0.500 0.500 0.000
Na2 0.250 0.750 0.500
Ge1 0.876 0.125 0.250
Ge2 0.874 0.625 0.250
Ge3 0.375 0.124 0.750
Ge4 0.875 0.126 0.750
Os1 0.000 0.000 0.000
Os2 0.750 0.250 0.500



(C)
Here is crystalline NaGe2Os at its relaxed geometry from Alexandria. Energies are from PBE.

## Properties
**Volume**: 20.3 A^3/atom
**Space-group type**: No. 166

Cell: 4.147 4.147 5.948 Å, 69.60 69.60 60.00°
Fractional coordinates of all 4 atoms:
Na1 0.500 0.500 0.500
Ge1 0.285 0.285 0.144
Ge2 0.715 0.715 0.856
Os1 0.000 0.000 0.000



(D)
Here is crystalline NaGe2Os at its relaxed geometry from Alexandria. Energies are from PBE.

## Properties
**Volume**: 18.2 A^3/atom
**Space-group type**: No. 123

Cell: 3.057 3.057 7.771 Å, 90.00 90.00 90.00°
Fractional coordinates of all 4 atoms:
Na1 0.500 0.500 0.500
Ge1 0.000 0.000 0.804
Ge2 0.000 0.000 0.196
Os1 0.500 0.500 0.000



Structures ranked by computed energy, the most stable listed first: (D), (C), (A), (B).



(A)
Here is crystalline NaGeP2S at its relaxed geometry from Alexandria. Energies are from PBE.

## Properties
**Volume**: 23.0 A^3/atom
**Space-group type**: No. 123

Cell: 4.846 4.846 4.895 Å, 90.00 90.00 90.00°
Last column: magnetic moment on the atom in μB.
Fractional coordinates of all 5 atoms:
P1 0.000 0.500 0.000  0.18
P2 0.500 0.000 0.000  0.18
Ge1 0.500 0.500 0.500  0.00
S1 0.000 0.000 0.500  0.21
Na1 0.000 0.000 0.000  0.01



(B)
Here is crystalline NaGeP2S at its relaxed geometry from Alexandria. Energies are from PBE.

## Properties
**Volume**: 22.7 A^3/atom
**Space-group type**: No. 123

Cell: 4.779 4.779 4.968 Å, 90.00 90.00 90.00°
Last column: magnetic moment on the atom in μB.
Fractional coordinates of all 5 atoms:
P1 0.000 0.500 0.000  0.22
P2 0.500 0.000 0.000  0.22
Ge1 0.000 0.000 0.000  0.00
S1 0.000 0.000 0.500  0.13
Na1 0.500 0.500 0.500  0.00



Structures ranked by computed energy, the most stable listed first: (B), (A).



(A)
Here is crystalline NaGePS2 at its relaxed geometry from Alexandria. Energies are from PBE.

## Properties
**Volume**: 22.7 A^3/atom
**Space-group type**: No. 123

Cell: 4.915 4.915 4.691 Å, 90.00 90.00 90.00°
Last column: magnetic moment on the atom in μB.
Fractional coordinates of all 5 atoms:
P1 0.000 0.000 0.500  0.38
Ge1 0.000 0.000 0.000  -0.01
S1 0.000 0.500 0.000  0.09
S2 0.500 0.000 0.000  0.09
Na1 0.500 0.500 0.500  0.00



(B)
Here is crystalline NaGePS2 at its relaxed geometry from Alexandria. Energies are from PBE.

## Properties
**Volume**: 23.0 A^3/atom
**Space-group type**: No. 123

Cell: 4.916 4.916 4.760 Å, 90.00 90.00 90.00°
Fractional coordinates of all 5 atoms:
P1 0.000 0.000 0.500
Ge1 0.500 0.500 0.500
S1 0.000 0.500 0.000
S2 0.500 0.000 0.000
Na1 0.000 0.000 0.000



Structures ranked by computed energy, the most stable listed first: (A), (B).



(A)
Here is crystalline NaPaGe2 at its relaxed geometry from Alexandria. Energies are from PBE.

## Properties
**Volume**: 21.5 A^3/atom
**Space-group type**: No. 123

Cell: 3.008 5.343 5.343 Å, 90.00 90.00 90.00°
Fractional coordinates of all 4 atoms:
Na1 0.500 0.500 0.500
Ge1 0.000 0.000 0.500
Ge2 0.000 0.500 0.000
Pa1 0.500 0.000 0.000



(B)
Here is crystalline NaPaGe2 at its relaxed geometry from Alexandria. Energies are from PBE.

## Properties
**Volume**: 35.6 A^3/atom
**Space-group type**: No. 166

Cell: 4.564 4.564 8.314 Å, 74.07 74.07 60.00°
Last column: magnetic moment on the atom in μB.
Fractional coordinates of all 4 atoms:
Na1 0.000 0.000 0.000  0.00
Ge1 0.121 0.121 0.638  0.07
Ge2 0.879 0.879 0.362  0.07
Pa1 0.500 0.500 0.500  0.45



Structures ranked by computed energy, the most stable listed first: (A), (B).



(A)
Here is crystalline Na2GePb at its relaxed geometry from Alexandria. Energies are from PBE.

## Properties
**Volume**: 24.9 A^3/atom
**Space-group type**: No. 123

Cell: 4.905 4.503 4.503 Å, 90.00 90.00 90.00°
Fractional coordinates of all 4 atoms:
Pb1 0.500 0.500 0.500
Na1 0.000 0.000 0.500
Na2 0.000 0.500 0.000
Ge1 0.500 0.000 0.000



(B)
Here is crystalline Na2GePb at its relaxed geometry from Alexandria. Energies are from PBE.

## Properties
**Volume**: 25.0 A^3/atom
**Space-group type**: No. 225

Cell: 5.210 5.210 5.210 Å, 60.00 60.00 60.00°
Fractional coordinates of all 4 atoms:
Pb1 0.500 0.500 0.500
Na1 0.250 0.250 0.250
Na2 0.750 0.750 0.750
Ge1 0.000 0.000 0.000



(C)
Here is crystalline Na2GePb at its relaxed geometry from Alexandria. Energies are from PBE.

## Properties
**Volume**: 26.3 A^3/atom
**Space-group type**: No. 166

Cell: 3.406 3.406 10.651 Å, 80.80 80.80 60.00°
Fractional coordinates of all 4 atoms:
Pb1 0.500 0.500 0.500
Na1 0.257 0.257 0.230
Na2 0.743 0.743 0.770
Ge1 0.000 0.000 0.000



(D)
Here is crystalline Na2GePb at its relaxed geometry from Alexandria. Energies are from PBE.

## Properties
**Volume**: 28.4 A^3/atom
**Space-group type**: No. 8

Cell: 5.005 6.325 8.300 Å, 75.39 72.45 66.70°
Fractional coordinates of all 8 atoms:
Na1 0.202 0.253 0.343
Na2 0.818 0.839 0.525
Na3 0.435 0.423 0.706
Na4 0.817 0.343 0.023
Ge1 0.123 0.679 0.076
Ge2 0.511 0.001 0.976
Pb1 0.130 0.988 0.752
Pb2 0.506 0.689 0.299



Structures ranked by computed energy, the most stable listed first: (A), (D), (B), (C).



(A)
Here is crystalline Na2GePb at its relaxed geometry from Alexandria. Energies are from PBE.

## Properties
**Volume**: 28.4 A^3/atom
**Space-group type**: No. 122

Cell: 8.813 8.813 6.884 Å, 50.20 50.20 90.00°
Fractional coordinates of all 8 atoms:
Pb1 0.000 0.000 0.000
Pb2 0.750 0.250 0.500
Na1 0.589 0.125 0.250
Na2 0.161 0.625 0.250
Na3 0.375 0.411 0.750
Na4 0.875 0.839 0.750
Ge1 0.500 0.500 0.000
Ge2 0.250 0.750 0.500



(B)
Here is crystalline Na2GePb at its relaxed geometry from Alexandria. Energies are from PBE.

## Properties
**Volume**: 26.9 A^3/atom
**Space-group type**: No. 14

Cell: 6.333 10.766 8.022 Å, 128.09 90.00 90.00°
Fractional coordinates of all 16 atoms:
Na1 0.752 0.048 0.083
Na2 0.252 0.452 0.917
Na3 0.248 0.952 0.917
Na4 0.748 0.548 0.083
Na5 0.975 0.644 0.782
Na6 0.475 0.856 0.218
Na7 0.025 0.356 0.218
Na8 0.525 0.144 0.782
Ge1 0.526 0.411 0.304
Ge2 0.026 0.089 0.696
Ge3 0.474 0.589 0.696
Ge4 0.974 0.911 0.304
Pb1 0.274 0.212 0.426
Pb2 0.774 0.288 0.574
Pb3 0.726 0.788 0.574
Pb4 0.226 0.712 0.426



Structures ranked by computed energy, the most stable listed first: (B), (A).



(A)
Here is crystalline Na2GePb2 at its relaxed geometry from Alexandria. Energies are from PBE.

## Properties
**Volume**: 28.7 A^3/atom
**Space-group type**: No. 141

Cell: 4.677 4.677 13.546 Å, 99.94 99.94 90.00°
Fractional coordinates of all 10 atoms:
Na1 0.826 0.826 0.652
Na2 0.576 0.076 0.152
Na3 0.924 0.424 0.848
Na4 0.174 0.174 0.348
Ge1 0.500 0.500 0.000
Ge2 0.250 0.750 0.500
Pb1 0.434 0.934 0.867
Pb2 0.684 0.684 0.367
Pb3 0.316 0.316 0.633
Pb4 0.066 0.566 0.133



(B)
Here is crystalline Na2GePb2 at its relaxed geometry from Alexandria. Energies are from PBE.

## Properties
**Volume**: 26.9 A^3/atom
**Space-group type**: No. 127

Cell: 7.478 7.478 4.811 Å, 90.00 90.00 90.00°
Fractional coordinates of all 10 atoms:
Pb1 0.176 0.676 0.500
Pb2 0.676 0.824 0.500
Pb3 0.824 0.324 0.500
Pb4 0.324 0.176 0.500
Na1 0.363 0.863 0.000
Na2 0.863 0.637 0.000
Na3 0.637 0.137 0.000
Na4 0.137 0.363 0.000
Ge1 0.000 0.000 0.000
Ge2 0.500 0.500 0.000



Structures ranked by computed energy, the most stable listed first: (A), (B).



(A)
Here is crystalline NaGePb3 at its relaxed geometry from Alexandria. Energies are from PBE.

## Properties
**Volume**: 36.0 A^3/atom
**Space-group type**: No. 221

Cell: 5.646 5.646 5.646 Å, 90.00 90.00 90.00°
Fractional coordinates of all 5 atoms:
Pb1 0.000 0.500 0.000
Pb2 0.000 0.000 0.500
Pb3 0.500 0.000 0.000
Na1 0.500 0.500 0.500
Ge1 0.000 0.000 0.000



(B)
Here is crystalline NaGePb3 at its relaxed geometry from Alexandria. Energies are from PBE.

## Properties
**Volume**: 33.1 A^3/atom
**Space-group type**: No. 221

Cell: 5.490 5.490 5.490 Å, 90.00 90.00 90.00°
Fractional coordinates of all 5 atoms:
Pb1 0.000 0.500 0.000
Pb2 0.000 0.000 0.500
Pb3 0.500 0.000 0.000
Na1 0.000 0.000 0.000
Ge1 0.500 0.500 0.500



Structures ranked by computed energy, the most stable listed first: (A), (B).